1.
This record from Alexandria via LeMat-Bulk describes crystalline Ba2CoAu at its relaxed geometry. The functional is GGA-PBE.

ΔE_f, eV per atom: 0.049
ΔE to the lowest computed polymorph, eV/f.u.: 0.51
DFT total energy, eV for the cell shown: -14.03

Cell lengths 5.5800, 5.5800, 5.5800 Å; angles 60.00, 60.00, 60.00 degrees
Last column: nearest neighbours and their distance in Å.
Fractional positions:
Ba: 0.2500 0.2500 0.2500  4 Au 3.42, 4 Co 3.42
Ba: 0.7500 0.7500 0.7500  4 Au 3.42, 4 Co 3.42
Co: 0.0000 0.0000 0.0000  8 Ba 3.42
Au: 0.5000 0.5000 0.5000  8 Ba 3.42



2.
This record from Alexandria via LeMat-Bulk describes crystalline RhSeOF2 at its relaxed geometry. The functional is GGA-PBE.

ΔE to the lowest computed polymorph, eV/f.u.: 1.51
Energy relative to the elements, uncorrected, kJ/mol of atoms: -6
DFT total energy, eV for the cell shown: -19.83

Cell lengths 4.5215, 4.5215, 3.7477 Å; angles 90.00, 90.00, 90.00 degrees
Last column: nearest neighbours and their distance in Å.
Fractional positions:
Rh: 0.0000 0.0000 0.0000  8 F 2.94, 4 O 3.20
Se: 0.5000 0.5000 0.5000  2 O 1.87
O: 0.5000 0.5000 0.0000  2 Se 1.87
F: 0.0000 0.5000 0.5000  2 Se 2.26
F: 0.5000 0.0000 0.5000  2 Se 2.26



3.
This record from Alexandria via LeMat-Bulk describes crystalline La2Y2Sn2H at its relaxed geometry. The functional is GGA-PBE.

DFT total energy, eV for the cell shown: -38.87

Cell lengths 9.3197, 9.3197, 9.3197 Å; angles 150.80, 150.80, 41.77 degrees
Last column: nearest neighbours and their distance in Å.
Fractional positions:
La: 0.1786 0.1786 0.0000  1 H 3.11, 5 Sn 3.36-3.44
La: 0.8214 0.8214 0.0000  1 H 3.11, 5 Sn 3.36-3.44
Y: 0.0000 0.5000 0.5000  2 H 2.35
Y: 0.5000 0.0000 0.5000  2 H 2.35
Sn: 0.3717 0.3717 0.0000  4 Y 3.24, 5 La 3.36-3.44
Sn: 0.6283 0.6283 0.0000  4 Y 3.24, 5 La 3.36-3.44
H: 0.0000 0.0000 0.0000  4 Y 2.35



4.
This record from Alexandria via LeMat-Bulk describes crystalline Na2GeAuO4 at its relaxed geometry. The functional is GGA-PBE.

Energy relative to the elements, uncorrected, kJ/mol of atoms: -118
DFT total energy, eV for the cell shown: -40.12

Cell lengths 5.2454, 5.2454, 5.2454 Å; angles 110.78, 110.78, 106.89 degrees
Last column: nearest neighbours and their distance in Å.
Fractional positions:
Na: 0.0000 0.0000 0.0000  4 O 2.49
Na: 0.7500 0.2500 0.5000  4 O 2.33
Ge: 0.5000 0.5000 0.0000  4 O 1.80
Au: 0.2500 0.7500 0.5000  4 O 2.20
O: 0.1642 0.5028 0.0158  1 Ge 1.80
O: 0.4870 0.1485 0.9842  1 Ge 1.80
O: 0.4972 0.5130 0.6614  1 Ge 1.80
O: 0.8515 0.8358 0.3386  1 Ge 1.80



- What is the DFT total energy in the fourth record?
  -40.12 eV for the cell shown



Please write out number 3 again, unchanged.
This record from Alexandria via LeMat-Bulk describes crystalline La2Y2Sn2H at its relaxed geometry. The functional is GGA-PBE.

DFT total energy, eV for the cell shown: -38.87

Cell lengths 9.3197, 9.3197, 9.3197 Å; angles 150.80, 150.80, 41.77 degrees
Last column: nearest neighbours and their distance in Å.
Fractional positions:
La: 0.1786 0.1786 0.0000  1 H 3.11, 5 Sn 3.36-3.44
La: 0.8214 0.8214 0.0000  1 H 3.11, 5 Sn 3.36-3.44
Y: 0.0000 0.5000 0.5000  2 H 2.35
Y: 0.5000 0.0000 0.5000  2 H 2.35
Sn: 0.3717 0.3717 0.0000  4 Y 3.24, 5 La 3.36-3.44
Sn: 0.6283 0.6283 0.0000  4 Y 3.24, 5 La 3.36-3.44
H: 0.0000 0.0000 0.0000  4 Y 2.35